! Ti2Ga2Au3 PBE optimized geometry; values from VASP
! SG	C2/m
! size of the total moment	0.30	μB per formula unit
! energy relative to the elements	-1.88	eV per formula unit
! final energy	-0.352	Ry/atom
&SYSTEM
  ibrav = 0, nat = 14, ntyp = 3
/
ATOMIC_SPECIES
Ti 47.87 Ti.upf
Ga 69.72 Ga.upf
Au 196.97 Au.upf
ATOMIC_POSITIONS crystal
Ti 0.137 0.000 0.436
Ti 0.363 0.500 0.564
Ti 0.637 0.500 0.436
Ti 0.863 0.000 0.564
Ga 0.075 0.500 0.718
Ga 0.425 0.000 0.282
Ga 0.575 0.000 0.718
Ga 0.925 0.500 0.282
Au 0.000 0.000 0.000
Au 0.217 0.500 0.168
Au 0.283 0.000 0.832
Au 0.500 0.500 0.000
Au 0.717 0.000 0.168
Au 0.783 0.500 0.832
CELL_PARAMETERS angstrom
9.507 0.000 0.000
0.000 3.786 0.000
-0.494 0.000 6.626


! Ti4GaAu PBE optimized geometry; values from VASP
! SG	Pbam
! size of the total moment	3.14	μB per formula unit
! energy relative to the elements	-0.69	eV per formula unit
! final energy	-0.472	Ry/atom
&SYSTEM
  ibrav = 0, nat = 24, ntyp = 3
/
ATOMIC_SPECIES
Ti 47.87 Ti.upf
Ga 69.72 Ga.upf
Au 196.97 Au.upf
ATOMIC_POSITIONS crystal
Ti 0.068 0.063 0.000
Ti 0.073 0.311 0.000
Ti 0.224 0.441 0.000
Ti 0.229 0.188 0.000
Ti 0.271 0.688 0.000
Ti 0.276 0.941 0.000
Ti 0.427 0.811 0.000
Ti 0.432 0.563 0.000
Ti 0.568 0.437 0.000
Ti 0.573 0.189 0.000
Ti 0.724 0.059 0.000
Ti 0.729 0.312 0.000
Ti 0.771 0.812 0.000
Ti 0.776 0.559 0.000
Ti 0.927 0.689 0.000
Ti 0.932 0.937 0.000
Ga 0.102 0.813 0.500
Ga 0.398 0.313 0.500
Ga 0.602 0.687 0.500
Ga 0.898 0.187 0.500
Au 0.101 0.570 0.500
Au 0.399 0.070 0.500
Au 0.601 0.930 0.500
Au 0.899 0.430 0.500
CELL_PARAMETERS angstrom
7.874 0.000 0.000
0.000 18.306 0.000
0.000 0.000 2.788


! Ti2Ga3Au PBE optimized geometry; values from VASP
! SG	Fmmm
! size of the total moment	0.00	μB per formula unit
! energy relative to the elements	-2.26	eV per formula unit
! final energy	-0.372	Ry/atom
&SYSTEM
  ibrav = 0, nat = 12, ntyp = 3
/
ATOMIC_SPECIES
Ti 47.87 Ti.upf
Ga 69.72 Ga.upf
Au 196.97 Au.upf
ATOMIC_POSITIONS crystal
Ti 0.245 0.755 0.755
Ti 0.250 0.250 0.250
Ti 0.750 0.750 0.750
Ti 0.755 0.245 0.245
Ga 0.166 0.166 0.834
Ga 0.166 0.669 0.331
Ga 0.331 0.834 0.166
Ga 0.669 0.166 0.834
Ga 0.834 0.331 0.669
Ga 0.834 0.834 0.166
Au 0.334 0.334 0.666
Au 0.666 0.666 0.334
CELL_PARAMETERS angstrom
0.000 4.350 7.601
2.957 0.000 7.601
2.957 4.350 0.000


! Ti5Ga2Au2 PBE optimized geometry; values from VASP
! SG	Cmce
! size of the total moment	1.52	μB per formula unit
! energy relative to the elements	-2.95	eV per formula unit
! final energy	-0.449	Ry/atom
&SYSTEM
  ibrav = 0, nat = 18, ntyp = 3
/
ATOMIC_SPECIES
Ti 47.87 Ti.upf
Ga 69.72 Ga.upf
Au 196.97 Au.upf
ATOMIC_POSITIONS crystal
Ti 0.000 0.000 0.000
Ti 0.054 0.687 0.669
Ti 0.187 0.554 0.169
Ti 0.313 0.946 0.669
Ti 0.446 0.813 0.169
Ti 0.500 0.500 0.500
Ti 0.554 0.187 0.831
Ti 0.687 0.054 0.331
Ti 0.813 0.446 0.831
Ti 0.946 0.313 0.331
Ga 0.127 0.873 0.369
Ga 0.373 0.627 0.869
Ga 0.627 0.373 0.131
Ga 0.873 0.127 0.631
Au 0.216 0.216 0.000
Au 0.284 0.284 0.500
Au 0.716 0.716 0.500
Au 0.784 0.784 0.000
CELL_PARAMETERS angstrom
6.962 -3.341 0.000
6.962 3.341 0.000
0.000 0.000 6.744


! TiGaAu2 PBE optimized geometry; values from VASP
! SG	R3m
! size of the total moment	0.00	μB per formula unit
! energy relative to the elements	-0.63	eV per formula unit
! final energy	-0.333	Ry/atom
&SYSTEM
  ibrav = 0, nat = 12, ntyp = 3
/
ATOMIC_SPECIES
Ti 47.87 Ti.upf
Ga 69.72 Ga.upf
Au 196.97 Au.upf
ATOMIC_POSITIONS crystal
Ti 0.000 0.000 0.000
Ti 0.333 0.667 0.667
Ti 0.667 0.333 0.333
Ga 0.000 0.000 0.834
Ga 0.333 0.667 0.500
Ga 0.667 0.333 0.167
Au 0.000 0.000 0.415
Au 0.000 0.000 0.585
Au 0.333 0.667 0.082
Au 0.333 0.667 0.252
Au 0.667 0.333 0.749
Au 0.667 0.333 0.918
CELL_PARAMETERS angstrom
3.301 0.000 0.000
-1.651 2.859 0.000
0.000 0.000 23.686


! Ti6GaAu2 PBE optimized geometry; values from VASP
! SG	Immm
! size of the total moment	0.00	μB per formula unit
! energy relative to the elements	0.72	eV per formula unit
! final energy	-0.459	Ry/atom
&SYSTEM
  ibrav = 0, nat = 9, ntyp = 3
/
ATOMIC_SPECIES
Ti 47.87 Ti.upf
Ga 69.72 Ga.upf
Au 196.97 Au.upf
ATOMIC_POSITIONS crystal
Ti 0.082 0.338 0.745
Ti 0.245 0.000 0.245
Ti 0.407 0.662 0.745
Ti 0.593 0.338 0.255
Ti 0.755 0.000 0.755
Ti 0.918 0.662 0.255
Ga 0.000 0.500 0.500
Au 0.332 0.832 0.500
Au 0.668 0.168 0.500
CELL_PARAMETERS angstrom
-2.157 3.109 6.592
2.157 -3.109 6.592
2.157 3.109 -6.592


- size of the total moment of number 5 (TiGaAu2)?
  0.00 μB per formula unit